Below is an optimized crystal structure of CoTcAsO, with properties calculated at the PBE with a Hubbard U level.

Calculated values
As for the total energy: -6.620 eV/atom. The calculation puts the distance to the lowest polymorph of the same formula at 0.00 eV/f.u.

a b c (Å): 3.191 6.086 5.822
angles (deg): 90.00 90.00 90.00
Fractional coordinates of all 8 atoms:
Co  0.000  0.114  0.000
Co  0.000  0.886  0.500
Tc  0.500  0.500  0.129
Tc  0.500  0.500  0.629
As  0.000  0.266  0.403
As  0.000  0.734  0.903
O  0.500  0.260  0.881
O  0.500  0.740  0.381